# 1
Pu3Ga2Ag5 | PBE | optimized geometry

Formation energy = 0.2 eV per formula unit

Unit cell a=12.0089 b=12.8475 c=5.7995 alpha=90.00 beta=90.00 gamma=90.00
Space group Ibam (No. 72)
Asymmetric unit:
Pu (0.0000, 0.0000, 0.2500) [4 per cell]
Pu (0.1063, 0.2459, 0.0000) [8 per cell]
Ga (0.1489, 0.1502, 0.5000) [8 per cell]
Ag (0.0000, 0.5000, 0.2500) [4 per cell]
Ag (0.1334, 0.3497, 0.5000) [8 per cell]
Ag (0.2459, 0.5000, 0.2500) [8 per cell]

# 2
Pu2GaAg3 | PBE | optimized geometry

Formation energy = -0.4 eV per formula unit

Unit cell a=9.6986 b=5.6935 c=5.6434 alpha=90.00 beta=124.35 gamma=90.00
Space group C2/m (No. 12)
Asymmetric unit:
Pu (0.1251, 0.0000, 0.3759) [4 per cell]
Ga (0.0000, 0.5000, 0.0000) [2 per cell]
Ag (0.0000, 0.5000, 0.5000) [2 per cell]
Ag (0.2500, 0.2500, 0.0000) [4 per cell]

# 3
Pu2Ga3Ag5 | PBE | optimized geometry

Formation energy = -0.7 eV per formula unit

Unit cell a=11.7982 b=12.0061 c=5.9327 alpha=90.00 beta=90.00 gamma=90.00
Space group Ibam (No. 72)
Asymmetric unit:
Pu (0.1332, 0.2380, 0.0000) [8 per cell]
Ga (0.0000, 0.5000, 0.2500) [4 per cell]
Ga (0.1284, 0.1353, 0.5000) [8 per cell]
Ag (0.0000, 0.0000, 0.2500) [4 per cell]
Ag (0.1078, 0.3493, 0.5000) [8 per cell]
Ag (0.2439, 0.5000, 0.2500) [8 per cell]

# 4
Pu2GaAg | PBE | optimized geometry

Formation energy = 0.8 eV per formula unit

Unit cell a=2.9807 b=2.9807 c=33.9751 alpha=90.00 beta=90.00 gamma=120.00
Space group R-3m (No. 166, hexagonal axes)
Asymmetric unit:
Pu (0.0000, 0.0000, 0.0900) [6 per cell]
Ga (0.0000, 0.0000, 0.5000) [3 per cell]
Ag (0.0000, 0.0000, 0.0000) [3 per cell]

# 5
Pu3Ga2Ag | PBE | optimized geometry

Formation energy = -0.9 eV per formula unit

Unit cell a=3.9000 b=3.9000 c=8.8908 alpha=90.00 beta=90.00 gamma=90.00
Space group P4/mmm (No. 123)
Asymmetric unit:
Pu (0.0000, 0.0000, 0.0000) [1 per cell]
Pu (0.0000, 0.0000, 0.3272) [2 per cell]
Ga (0.5000, 0.5000, 0.1630) [2 per cell]
Ag (0.5000, 0.5000, 0.5000) [1 per cell]

# 6
Pu2Ga4Ag | PBE | optimized geometry

Formation energy = -1.3 eV per formula unit

Unit cell a=5.0719 b=4.2291 c=6.9910 alpha=90.00 beta=98.96 gamma=90.00
Space group P2/m (No. 10)
Asymmetric unit:
Pu (0.2453, 0.0000, 0.1476) [2 per cell]
Ga (0.2184, 0.0000, 0.6089) [2 per cell]
Ga (0.2617, 0.5000, 0.8403) [2 per cell]
Ag (0.5000, 0.5000, 0.5000) [1 per cell]